Record 1
Material: K2HgSe
Method: DFT, SCAN
State: single point on PBEsol structure

abc: 7.823 7.823 7.823
angles: 90.00 90.00 90.00
Element x y z (fractional)
K (0.250, 0.250, 0.250)
K (0.250, 0.250, 0.750)
K (0.250, 0.750, 0.250)
K (0.250, 0.750, 0.750)
K (0.750, 0.250, 0.250)
K (0.750, 0.250, 0.750)
K (0.750, 0.750, 0.250)
K (0.750, 0.750, 0.750)
Hg (0.000, 0.000, 0.000)
Hg (0.000, 0.500, 0.500)
Hg (0.500, 0.000, 0.500)
Hg (0.500, 0.500, 0.000)
Se (0.000, 0.000, 0.500)
Se (0.000, 0.500, 0.000)
Se (0.500, 0.000, 0.000)
Se (0.500, 0.500, 0.500)

Output
N(E_F) ... 0.000 states/eV/atom
Calculated total energy ... -27.170 eV/atom
Uncorrected formation energy ... -0.9447 eV/atom



Record 2
Material: KHg4Se
Method: DFT, SCAN
State: single point on PBEsol structure

abc: 6.038 6.038 6.038
angles: 60.00 60.00 60.00
Element x y z (fractional)
K (0.000, 0.000, 0.000)
Hg (0.376, 0.376, 0.376)
Hg (0.376, 0.376, 0.873)
Hg (0.376, 0.873, 0.376)
Hg (0.873, 0.376, 0.376)
Se (0.750, 0.750, 0.750)

Output
N(E_F) ... 0.823 states/eV/atom
Calculated total energy ... -50.335 eV/atom
Uncorrected formation energy ... -0.1562 eV/atom



Record 3
Material: KHgSe2
Method: DFT, SCAN
State: single point on PBEsol structure

abc: 7.236 7.236 7.236
angles: 90.00 90.00 90.00
Element x y z (fractional)
K (0.000, 0.000, 0.000)
K (0.000, 0.500, 0.500)
K (0.500, 0.000, 0.500)
K (0.500, 0.500, 0.000)
Hg (0.000, 0.000, 0.500)
Hg (0.000, 0.500, 0.000)
Hg (0.500, 0.000, 0.000)
Hg (0.500, 0.500, 0.500)
Se (0.250, 0.250, 0.250)
Se (0.250, 0.250, 0.750)
Se (0.250, 0.750, 0.250)
Se (0.250, 0.750, 0.750)
Se (0.750, 0.250, 0.250)
Se (0.750, 0.250, 0.750)
Se (0.750, 0.750, 0.250)
Se (0.750, 0.750, 0.750)

Output
N(E_F) ... 1.077 states/eV/atom
Calculated total energy ... -29.325 eV/atom
Uncorrected formation energy ... -0.1623 eV/atom



Record 4
Material: KHgSe2
Method: DFT, SCAN
State: single point on PBEsol structure

abc: 4.056 4.056 6.375
angles: 90.00 90.00 90.00
Element x y z (fractional)
K (0.000, 0.000, 0.000)
Hg (0.000, 0.000, 0.500)
Se (0.500, 0.500, 0.305)
Se (0.500, 0.500, 0.695)

Output
N(E_F) ... 0.271 states/eV/atom
Calculated total energy ... -29.454 eV/atom
Uncorrected formation energy ... -0.2910 eV/atom



Record 5
Material: K2Hg3Se4
Method: DFT, SCAN
State: single point on PBEsol structure

abc: 10.818 6.905 13.816
angles: 90.00 90.00 90.00
Element x y z (fractional)
K (0.116, 0.230, 0.003)
K (0.116, 0.770, 0.503)
K (0.384, 0.270, 0.503)
K (0.384, 0.730, 0.003)
K (0.616, 0.270, 0.997)
K (0.616, 0.730, 0.497)
K (0.884, 0.230, 0.497)
K (0.884, 0.770, 0.997)
Hg (0.000, 0.408, 0.750)
Hg (0.000, 0.592, 0.250)
Hg (0.166, 0.090, 0.260)
Hg (0.166, 0.910, 0.760)
Hg (0.334, 0.410, 0.760)
Hg (0.334, 0.590, 0.260)
Hg (0.500, 0.092, 0.250)
Hg (0.500, 0.908, 0.750)
Hg (0.666, 0.410, 0.740)
Hg (0.666, 0.590, 0.240)
Hg (0.834, 0.090, 0.240)
Hg (0.834, 0.910, 0.740)
Se (0.132, 0.372, 0.372)
Se (0.132, 0.628, 0.872)
Se (0.136, 0.172, 0.637)
Se (0.136, 0.828, 0.137)
Se (0.364, 0.328, 0.137)
Se (0.364, 0.672, 0.637)
Se (0.368, 0.128, 0.872)
Se (0.368, 0.872, 0.372)
Se (0.632, 0.128, 0.628)
Se (0.632, 0.872, 0.128)
Se (0.636, 0.328, 0.363)
Se (0.636, 0.672, 0.863)
Se (0.864, 0.172, 0.863)
Se (0.864, 0.828, 0.363)
Se (0.868, 0.372, 0.128)
Se (0.868, 0.628, 0.628)

Output
Calculated total energy ... -34.163 eV/atom
Uncorrected formation energy ... -0.6664 eV/atom



Record 6
Material: K2HgSe
Method: DFT, SCAN
State: single point on PBEsol structure

abc: 5.253 5.253 4.336
angles: 90.00 90.00 90.00
Element x y z (fractional)
K (0.000, 0.500, 0.000)
K (0.500, 0.000, 0.000)
Hg (0.000, 0.000, 0.500)
Se (0.500, 0.500, 0.500)

Output
N(E_F) ... 0.169 states/eV/atom
Calculated total energy ... -27.058 eV/atom
Uncorrected formation energy ... -0.8326 eV/atom



Record 7
Material: K2HgSe
Method: DFT, SCAN
State: single point on PBEsol structure

abc: 4.691 4.627 6.484
angles: 90.00 111.13 90.00
Element x y z (fractional)
K (0.000, 0.000, 0.000)
K (0.281, 0.500, 0.561)
Hg (0.715, 0.000, 0.428)
Se (0.558, 0.500, 0.117)

Output
Calculated total energy ... -27.115 eV/atom
Uncorrected formation energy ... -0.8898 eV/atom



Record 8
Material: KSiHg2
Method: DFT, SCAN
State: single point on PBEsol structure

abc: 3.116 3.950 7.913
angles: 90.00 90.00 90.00
Element x y z (fractional)
K (0.000, 0.000, 0.000)
Si (0.000, 0.000, 0.500)
Hg (0.500, 0.500, 0.303)
Hg (0.500, 0.500, 0.697)

Output
N(E_F) ... 0.359 states/eV/atom
Calculated total energy ... -38.505 eV/atom
Uncorrected formation energy ... 0.1640 eV/atom



Record 9
Material: K2Si2Hg
Method: DFT, SCAN
State: single point on PBEsol structure

abc: 6.157 6.157 9.429
angles: 90.00 90.00 90.00
Element x y z (fractional)
K (0.000, 0.500, 0.250)
K (0.000, 0.500, 0.750)
K (0.500, 0.000, 0.250)
K (0.500, 0.000, 0.750)
Si (0.000, 0.000, 0.113)
Si (0.000, 0.000, 0.887)
Si (0.500, 0.500, 0.387)
Si (0.500, 0.500, 0.613)
Hg (0.000, 0.000, 0.500)
Hg (0.500, 0.500, 0.000)

Output
Calculated total energy ... -20.771 eV/atom
Uncorrected formation energy ... 0.1997 eV/atom



Record 10
Material: K3SiHg
Method: DFT, SCAN
State: single point on PBEsol structure

abc: 6.200 6.200 6.200
angles: 90.00 90.00 90.00
Element x y z (fractional)
K (0.000, 0.000, 0.500)
K (0.000, 0.500, 0.000)
K (0.500, 0.000, 0.000)
Si (0.500, 0.500, 0.500)
Hg (0.000, 0.000, 0.000)

Output
N(E_F) ... 0.265 states/eV/atom
Calculated total energy ... -20.209 eV/atom
Uncorrected formation energy ... 0.4242 eV/atom



Record 11
Material: KTa2SiHg
Method: DFT, SCAN
State: single point on PBEsol structure

abc: 4.642 4.642 5.213
angles: 90.00 90.00 90.00
Element x y z (fractional)
K (0.000, 0.000, 0.000)
Ta (0.000, 0.500, 0.000)
Ta (0.500, 0.000, 0.000)
Si (0.500, 0.500, 0.500)
Hg (0.000, 0.000, 0.500)

Output
N(E_F) ... 0.934 states/eV/atom
Calculated total energy ... -40.795 eV/atom
Uncorrected formation energy ... 3.1406 eV/atom



Record 12
Material: K2SnHg2
Method: DFT, SCAN
State: single point on PBEsol structure

abc: 7.581 7.581 5.525
angles: 90.00 90.00 90.00
Element x y z (fractional)
K (0.178, 0.322, 0.000)
K (0.322, 0.822, 0.000)
K (0.678, 0.178, 0.000)
K (0.822, 0.678, 0.000)
Sn (0.000, 0.000, 0.500)
Sn (0.500, 0.500, 0.500)
Hg (0.137, 0.637, 0.500)
Hg (0.363, 0.137, 0.500)
Hg (0.637, 0.863, 0.500)
Hg (0.863, 0.363, 0.500)

Output
N(E_F) ... 0.364 states/eV/atom
Calculated total energy ... -38.055 eV/atom
DFT formation energy ... -0.273 eV per atom